1.
Crystalline Sc3Al2Ni at its relaxed geometry. Source: Alexandria via LeMat-Bulk, functional GGA-PBE.

extended XYZ file:
```
6
Lattice="3.242 0.000 0.000 0.000 3.242 0.000 0.000 0.000 10.456" Properties=species:S:1:pos:R:3 pbc="T T T"
Ni 1.621 1.621 5.228
Al 1.621 1.621 8.612
Sc 0.000 0.000 0.000
Al 1.621 1.621 1.844
Sc 0.000 0.000 6.747
Sc 0.000 0.000 3.710
```

Values from the calculation:
Fermi-level density of states: 3.468 states/eV/cell
DFT total energy: -5.85 eV/atom
ΔE_f: -0.472 eV/atom

2.
Crystalline Sc11Al9Ni4 at its relaxed geometry. Source: Alexandria via LeMat-Bulk, functional GGA-PBE.

extended XYZ file:
```
24
Lattice="3.271 0.000 0.000 0.000 11.064 -4.682 0.000 0.043 12.014" Properties=species:S:1:pos:R:3 pbc="T T T"
Sc 0.000 10.330 2.697
Al 1.636 4.111 8.353
Al 1.636 10.244 5.079
Al 1.636 6.996 -1.021
Sc 0.000 1.808 9.340
Sc 0.000 9.299 -2.008
Sc 0.000 0.777 4.635
Ni 1.636 6.140 6.493
Ni 1.636 4.967 0.839
Al 1.636 8.696 7.424
Al 1.636 1.811 6.834
Ni 1.636 8.384 3.095
Sc 0.000 6.540 8.438
Sc 0.000 4.148 5.795
Sc 0.000 0.000 0.000
Ni 1.636 2.723 4.238
Al 1.636 5.554 3.666
Sc 0.000 7.686 5.074
Al 1.636 9.296 0.498
Al 1.636 2.411 -0.092
Sc 0.000 6.959 1.537
Sc 0.000 3.421 2.258
Al 1.636 0.863 2.253
Sc 0.000 4.567 -1.106
```

Values from the calculation:
Fermi-level density of states: 15.697 states/eV/cell
DFT total energy: -5.82 eV/atom
ΔE_f: -0.551 eV/atom

3.
Crystalline ScAl4Ni15 at its relaxed geometry. Source: Alexandria via LeMat-Bulk, functional GGA-PBE.

extended XYZ file:
```
20
Lattice="3.602 0.000 0.000 0.000 3.602 0.000 0.000 0.000 17.896" Properties=species:S:1:pos:R:3 pbc="T T T"
Al 0.000 0.000 3.683
Ni 1.801 1.801 7.198
Ni 0.000 1.801 15.958
Ni 1.801 1.801 14.224
Ni 1.801 0.000 5.433
Ni 0.000 1.801 12.464
Al 0.000 0.000 10.706
Ni 1.801 1.801 3.672
Ni 1.801 0.000 8.948
Al 0.000 0.000 14.213
Ni 1.801 1.801 10.698
Ni 1.801 1.801 0.000
Ni 1.801 0.000 12.464
Ni 0.000 1.801 1.938
Al 0.000 0.000 7.191
Ni 0.000 1.801 5.433
Ni 0.000 1.801 8.948
Ni 1.801 0.000 15.958
Sc 0.000 0.000 0.000
Ni 1.801 0.000 1.938
```

Values from the calculation:
Fermi-level density of states: 19.679 states/eV/cell
DFT total energy: -5.82 eV/atom
ΔE_f: -0.422 eV/atom

4.
Crystalline Sc2Al4Ni at its relaxed geometry. Source: Alexandria via LeMat-Bulk, functional GGA-PBE.

extended XYZ file:
```
7
Lattice="4.361 0.000 0.000 0.000 4.361 0.000 2.181 2.181 7.282" Properties=species:S:1:pos:R:3 pbc="T T T"
Ni 0.000 0.000 0.000
Al 0.000 2.181 0.000
Al 2.181 0.000 0.000
Al 2.181 2.181 4.958
Sc 2.181 2.181 2.161
Al 4.361 4.361 2.324
Sc 4.361 4.361 5.121
```

Values from the calculation:
Fermi-level density of states: 2.965 states/eV/cell
DFT total energy: -4.90 eV/atom
ΔE_f: -0.125 eV/atom

5.
Crystalline Sc2AlNi3 at its relaxed geometry. Source: Alexandria via LeMat-Bulk, functional GGA-PBE.

extended XYZ file:
```
12
Lattice="-4.127 1.623 2.459 3.705 -2.352 2.541 3.504 6.931 1.306" Properties=species:S:1:pos:R:3 pbc="T T T"
Al 0.000 0.000 0.000
Sc 4.392 5.497 3.743
Sc -1.310 0.706 2.563
Ni 1.437 1.206 1.615
Ni 1.851 5.351 2.254
Sc 3.052 2.846 3.244
Al 1.752 3.466 0.653
Ni 1.645 4.996 4.691
Sc 0.030 3.356 3.063
Ni 1.231 0.851 4.052
Ni -0.160 6.142 3.453
Ni 3.242 0.060 2.854
```

Values from the calculation:
Fermi-level density of states: 10.895 states/eV/cell
DFT total energy: -6.23 eV/atom
ΔE_f: -0.602 eV/atom

6.
Crystalline ScAl2Ni at its relaxed geometry. Source: Alexandria via LeMat-Bulk, functional GGA-PBE.

extended XYZ file:
```
4
Lattice="-2.141 1.616 -3.303 0.061 -2.762 -1.391 -4.298 -2.135 1.741" Properties=species:S:1:pos:R:3 pbc="T T T"
Al -2.033 -2.058 0.311
Sc -4.248 -2.865 -1.389
Ni -2.129 -0.416 -1.564
Al -0.085 -0.391 -0.136
```

Values from the calculation:
Fermi-level density of states: 2.978 states/eV/cell
DFT total energy: -5.27 eV/atom
ΔE_f: -0.367 eV/atom

7.
Crystalline ScAl2Ni9 at its relaxed geometry. Source: Alexandria via LeMat-Bulk, functional GGA-PBE.

extended XYZ file:
```
12
Lattice="-0.341 -3.467 -1.021 2.300 0.583 -2.748 8.250 -2.677 6.336" Properties=species:S:1:pos:R:3 pbc="T T T"
Ni 7.928 -1.908 3.831
Ni 5.275 -1.047 1.794
Ni 6.444 -3.216 2.312
Ni 6.607 -3.933 4.695
Ni 2.622 -0.186 -0.244
Sc 0.000 0.000 0.000
Al 5.455 -1.770 4.190
Ni 3.954 -3.072 2.658
Al 2.794 -0.907 2.146
Ni 0.979 -1.442 -1.884
Ni 3.764 -2.346 0.255
Ni 1.301 -2.211 0.620
```

Values from the calculation:
energy above the lowest structure with this stoichiometry: 0.000 eV/atom
Fermi-level density of states: 11.383 states/eV/cell
DFT total energy: -5.91 eV/atom
ΔE_f: -0.421 eV/atom

8.
Crystalline ScAlNi3 at its relaxed geometry. Source: Alexandria via LeMat-Bulk, functional GGA-PBE.

extended XYZ file:
```
5
Lattice="-2.541 3.169 1.679 -1.127 -2.659 3.313 3.405 1.485 2.350" Properties=species:S:1:pos:R:3 pbc="T T T"
Ni -0.564 -1.330 1.657
Ni -1.271 1.585 0.840
Al -0.132 0.997 3.671
Ni 1.702 0.742 1.175
Sc 0.000 0.000 0.000
```

Values from the calculation:
energy above the lowest structure with this stoichiometry: 1.219 eV/atom
Fermi-level density of states: 2.471 states/eV/cell
DFT total energy: -4.62 eV/atom
ΔE_f: 0.859 eV/atom

9.
Crystalline Sc2AlSi3Ni4 at its relaxed geometry. Source: Alexandria via LeMat-Bulk, functional GGA-PBE.

extended XYZ file:
```
10
Lattice="-2.227 -1.224 2.874 2.510 -2.803 0.752 4.683 5.833 6.112" Properties=species:S:1:pos:R:3 pbc="T T T"
Sc 4.784 2.994 4.981
Sc 0.041 0.826 2.944
Ni 1.884 3.122 5.349
Si 2.956 4.457 6.749
Ni 0.000 0.000 0.000
Al 2.483 0.903 4.869
Si 1.868 -0.638 1.176
Ni 2.940 0.698 2.575
Ni 0.141 -2.013 1.813
Si 2.342 2.916 3.056
```

Values from the calculation:
formation energy (no corrections): -7.62 eV/f.u.
Fermi-level density of states: 6.009 states/eV/cell
DFT total energy: -6.34 eV/atom

10.
Crystalline ScAlNi2Sn at its relaxed geometry. Source: Alexandria via LeMat-Bulk, functional GGA-PBE.

extended XYZ file:
```
5
Lattice="-1.656 -2.153 3.806 4.708 -2.326 0.733 1.372 3.609 2.638" Properties=species:S:1:pos:R:3 pbc="T T T"
Sn 0.000 0.000 0.000
Ni -0.828 -1.076 1.903
Ni 0.686 1.804 1.319
Sc 2.354 -1.163 0.366
Al 2.212 -0.435 3.589
```

Values from the calculation:
Fermi-level density of states: 5.250 states/eV/cell
DFT total energy: -4.40 eV/atom
ΔE_f: 0.732 eV/atom

11.
Crystalline Sc2Al5Tc2Ni at its relaxed geometry. Source: Alexandria via LeMat-Bulk, functional GGA-PBE.

extended XYZ file:
```
20
Lattice="-0.521 1.409 -2.816 4.330 -7.921 -4.764 -9.092 -4.598 -0.619" Properties=species:S:1:pos:R:3 pbc="T T T"
Al -1.145 -4.301 -3.749
Al 1.905 -3.256 -3.790
Sc -2.740 -9.595 -4.293
Sc -6.031 -6.204 -1.988
Al -7.430 -3.419 -2.145
Al 0.106 -1.011 -2.334
Tc 0.384 -3.520 -1.832
Sc -2.022 -2.924 -1.089
Al -5.389 -10.099 -5.865
Tc 0.416 -8.559 -4.359
Al -4.138 -6.809 -4.450
Tc -5.146 -8.999 -3.550
Ni -2.381 -6.259 -2.691
Sc 1.269 -6.315 -3.394
Al -3.903 -4.292 -3.234
Al 2.147 -7.691 -6.054
Ni 0.000 0.000 0.000
Tc -5.178 -3.960 -1.023
Al -4.806 -1.594 -1.718
Al -1.380 -6.818 -4.965
```

Values from the calculation:
Fermi-level density of states: 17.342 states/eV/cell
DFT total energy: -6.09 eV/atom
ΔE_f: -0.302 eV/atom

12.
Crystalline ScTiAlNi at its relaxed geometry. Source: Alexandria via LeMat-Bulk, functional GGA-PBE.

extended XYZ file:
```
4
Lattice="4.532 0.000 0.000 2.266 3.925 0.000 2.266 1.308 3.701" Properties=species:S:1:pos:R:3 pbc="T T T"
Al 4.532 2.617 1.850
Ni 0.000 0.000 0.000
Sc 6.799 3.925 2.775
Ti 2.266 1.308 0.925
```

Values from the calculation:
Fermi-level density of states: 5.352 states/eV/cell
DFT total energy: -6.23 eV/atom
ΔE_f: -0.296 eV/atom